Here is a relaxed structure of La2Pr3Nd6Cd from Alexandria via LeMat-Bulk. Energies are from PBE-GGA.

Lattice parameters (Å, degrees): 6.315 10.951 12.118 90.00 100.21 90.00
Space group C2/m (No. 12)
One atom of each set of equivalent atoms:
La 0.000 0.168 0.000 x4
Pr 0.000 0.000 0.500 x2
Pr 0.000 0.332 0.500 x4
Nd 0.244 0.337 0.247 x8
Nd 0.245 0.500 0.751 x4
Cd 0.000 0.500 0.000 x2

Total magnetic moment, Bohr magnetons per cell: 0.0
Raw total energy, eV per atom: -4.49
Formation energy, eV per atom: -0.0150
DOS(E_F), states/eV/atom: 1.483
Volume, Å³/cell: 825